#P
This record from OQMD via LeMat-Bulk describes NaNdPd after structural relaxation. The functional is PBE.

a b c (Å): 4.9020 4.9020 4.9020
angles (deg): 60.00 60.00 60.00
With the nearest neighbours (Å) after each atom.
Fractional coordinates of all 3 atoms:
Na 0.0000 0.0000 0.0000  4 Nd 3.00
Nd 0.2500 0.2500 0.2500  4 Na 3.00, 4 Pd 3.00
Pd 0.5000 0.5000 0.5000  4 Nd 3.00

## Properties
M_tot   0.0 μB per cell
Volume   27.76 Å³/atom

***

#Q
This record from OQMD via LeMat-Bulk describes NaNdPd after structural relaxation. The functional is PBE.

a b c (Å): 4.8887 4.8887 4.8887
angles (deg): 60.00 60.00 60.00
With the nearest neighbours (Å) after each atom.
Fractional coordinates of all 3 atoms:
Na 0.0000 0.0000 0.0000  4 Pd 2.99
Nd 0.5000 0.5000 0.5000  4 Pd 2.99
Pd 0.2500 0.2500 0.2500  4 Na 2.99, 4 Nd 2.99

## Properties
M_tot   0.0 μB per cell
Volume   27.54 Å³/atom

***

Most stable structure, least stable structure: #Q, #P.

***

#P
This record from OQMD via LeMat-Bulk describes NaNdZnS3 after structural relaxation. The functional is PBE.

a b c (Å): 7.8085 4.0004 9.6903
angles (deg): 90.00 103.33 90.00
With the nearest neighbours (Å) after each atom.
Fractional coordinates of all 12 atoms:
Na 0.2458 0.2500 0.2606  4 S 2.89-2.99
Na 0.7542 0.7500 0.7394  4 S 2.89-2.99
Nd 0.3007 0.7500 0.8665  6 S 2.79-3.01
Nd 0.6993 0.2500 0.1335  6 S 2.79-3.01
Zn 0.0757 0.2500 0.6039  4 S 2.31-2.42
Zn 0.9243 0.7500 0.3961  4 S 2.31-2.42
S 0.0410 0.2500 0.8347  1 Zn 2.31
S 0.2184 0.7500 0.5469  3 Zn 2.41-2.42
S 0.4523 0.7500 0.1568  3 Nd 2.79-2.82, 2 Na 2.89
S 0.5477 0.2500 0.8432  3 Nd 2.79-2.82, 2 Na 2.89
S 0.7816 0.2500 0.4531  3 Zn 2.41-2.42
S 0.9590 0.7500 0.1653  1 Zn 2.31

## Properties
M_tot   0.0 μB per cell
Volume   24.55 Å³/atom

***

#Q
This record from OQMD via LeMat-Bulk describes NaNdZnS3 after structural relaxation. The functional is PBE.

a b c (Å): 11.3288 4.0494 11.6005
angles (deg): 90.00 90.00 90.00
With the nearest neighbours (Å) after each atom.
Fractional coordinates of all 24 atoms:
Na 0.1516 0.2500 0.0085  5 S 2.90-2.97
Na 0.3484 0.7500 0.5085  5 S 2.90-2.97
Na 0.6516 0.2500 0.4915  5 S 2.90-2.97
Na 0.8484 0.7500 0.9915  5 S 2.90-2.97
Nd 0.0246 0.2500 0.6765  7 S 2.84-3.14
Nd 0.4754 0.7500 0.1765  7 S 2.84-3.14
Nd 0.5246 0.2500 0.8235  7 S 2.84-3.14
Nd 0.9754 0.7500 0.3235  7 S 2.84-3.14
Zn 0.2466 0.2500 0.2925  4 S 2.31-2.40
Zn 0.2534 0.7500 0.7925  4 S 2.31-2.40
Zn 0.7466 0.2500 0.2075  4 S 2.31-2.40
Zn 0.7534 0.7500 0.7075  4 S 2.31-2.40
S 0.0578 0.7500 0.8482  1 Zn 2.31
S 0.1068 0.2500 0.4378  1 Zn 2.31
S 0.2144 0.7500 0.1856  2 Zn 2.40
S 0.2856 0.2500 0.6856  2 Zn 2.40
S 0.3932 0.7500 0.9378  1 Zn 2.31
S 0.4422 0.2500 0.3482  1 Zn 2.31
S 0.5578 0.7500 0.6518  1 Zn 2.31
S 0.6068 0.2500 0.0622  1 Zn 2.31
S 0.7144 0.7500 0.3144  2 Zn 2.40
S 0.7856 0.2500 0.8144  2 Zn 2.40
S 0.8932 0.7500 0.5622  1 Zn 2.31
S 0.9422 0.2500 0.1518  1 Zn 2.31

## Properties
M_tot   0.0 μB per cell
Volume   22.17 Å³/atom

***

#R
This record from OQMD via LeMat-Bulk describes NaNdZnS3 after structural relaxation. The functional is PBE.

a b c (Å): 9.3904 9.3904 7.8404
angles (deg): 105.05 105.05 24.64
With the nearest neighbours (Å) after each atom.
Fractional coordinates of all 12 atoms:
Na 0.1189 0.1189 0.0791  6 S 2.89-3.00
Na 0.8811 0.8811 0.9209  6 S 2.89-3.00
Nd 0.1746 0.1746 0.5993  6 S 2.76-3.09
Nd 0.8254 0.8254 0.4007  6 S 2.76-3.09
Zn 0.4691 0.4691 0.2678  2 S 2.32
Zn 0.5309 0.5309 0.7322  2 S 2.32
S 0.0000 0.0000 0.5000  4 Zn 2.66
S 0.3294 0.3294 0.6502  3 Nd 2.76-2.79, 2 Na 2.89
S 0.3385 0.3385 0.1626  1 Zn 2.32
S 0.5000 0.5000 0.0000  2 Zn 2.32
S 0.6615 0.6615 0.8374  1 Zn 2.32
S 0.6706 0.6706 0.3498  3 Nd 2.76-2.79, 2 Na 2.89

## Properties
M_tot   0.0 μB per cell
Volume   23.15 Å³/atom

***

#S
This record from OQMD via LeMat-Bulk describes NaNdZnS3 after structural relaxation. The functional is PBE.

a b c (Å): 8.0581 4.0424 16.0361
angles (deg): 90.00 90.00 90.00
With the nearest neighbours (Å) after each atom.
Fractional coordinates of all 24 atoms:
Na 0.0722 0.2500 0.2273  5 S 2.91-3.00
Na 0.4278 0.7500 0.7273  5 S 2.91-3.00
Na 0.5722 0.2500 0.2727  5 S 2.91-3.00
Na 0.9278 0.7500 0.7727  5 S 2.91-3.00
Nd 0.2380 0.2500 0.9506  7 S 2.75-3.07
Nd 0.2620 0.7500 0.4506  7 S 2.75-3.07
Nd 0.7380 0.2500 0.5494  7 S 2.75-3.07
Nd 0.7620 0.7500 0.0494  7 S 2.75-3.07
Zn 0.1344 0.2500 0.6420  4 S 2.27-2.44
Zn 0.3656 0.7500 0.1420  4 S 2.27-2.44
Zn 0.6344 0.2500 0.8580  4 S 2.27-2.44
Zn 0.8656 0.7500 0.3580  4 S 2.27-2.44
S 0.0005 0.2500 0.4106  2 Zn 2.44
S 0.9995 0.7500 0.5894  2 Zn 2.44
S 0.1263 0.7500 0.0587  1 Zn 2.35
S 0.1879 0.2500 0.7809  1 Zn 2.27
S 0.3121 0.7500 0.2809  1 Zn 2.27
S 0.3737 0.2500 0.5587  1 Zn 2.35
S 0.5005 0.2500 0.0894  2 Zn 2.44
S 0.4995 0.7500 0.9106  2 Zn 2.44
S 0.6263 0.7500 0.4413  1 Zn 2.35
S 0.6879 0.2500 0.7191  1 Zn 2.27
S 0.8121 0.7500 0.2191  1 Zn 2.27
S 0.8737 0.2500 0.9413  1 Zn 2.35

## Properties
M_tot   0.0 μB per cell
Volume   21.77 Å³/atom

***

Most stable structure, least stable structure: #Q, #R.

***

#P
This record from OQMD via LeMat-Bulk describes NaNdZnS3 after structural relaxation. The functional is PBE.

a b c (Å): 13.4010 4.0091 11.1298
angles (deg): 90.00 90.00 90.00
With the nearest neighbours (Å) after each atom.
Fractional coordinates of all 24 atoms:
Na 0.2368 0.2500 0.0759  4 S 2.89-2.97
Na 0.2632 0.7500 0.5759  4 S 2.89-2.97
Na 0.7368 0.2500 0.4241  4 S 2.89-2.97
Na 0.7632 0.7500 0.9241  4 S 2.89-2.97
Nd 0.0219 0.2500 0.3420  6 S 2.79-3.03
Nd 0.4781 0.7500 0.8420  6 S 2.79-3.03
Nd 0.5219 0.2500 0.1580  6 S 2.79-3.03
Nd 0.9781 0.7500 0.6580  6 S 2.79-3.03
Zn 0.0116 0.7500 0.0937  4 S 2.32-2.43
Zn 0.4884 0.2500 0.5937  4 S 2.32-2.43
Zn 0.5116 0.7500 0.4063  4 S 2.32-2.43
Zn 0.9884 0.2500 0.9063  4 S 2.32-2.43
S 0.0888 0.7500 0.8958  3 Zn 2.42-2.43
S 0.1079 0.2500 0.5702  3 Nd 2.79-2.83, 2 Na 2.89
S 0.1392 0.7500 0.2340  1 Zn 2.32
S 0.3608 0.2500 0.7340  1 Zn 2.32
S 0.3921 0.7500 0.0702  3 Nd 2.79-2.83, 2 Na 2.89
S 0.4112 0.2500 0.3958  3 Zn 2.42-2.43
S 0.5888 0.7500 0.6042  3 Zn 2.42-2.43
S 0.6079 0.2500 0.9298  3 Nd 2.79-2.83, 2 Na 2.89
S 0.6392 0.7500 0.2660  1 Zn 2.32
S 0.8608 0.2500 0.7660  1 Zn 2.32
S 0.8921 0.7500 0.4298  3 Nd 2.79-2.83, 2 Na 2.89
S 0.9112 0.2500 0.1042  3 Zn 2.42-2.43

## Properties
M_tot   0.0 μB per cell
Volume   24.91 Å³/atom

***

#Q
This record from OQMD via LeMat-Bulk describes NaNdZnS3 after structural relaxation. The functional is PBE.

a b c (Å): 6.7649 6.7649 10.9494
angles (deg): 90.00 90.00 145.57
With the nearest neighbours (Å) after each atom.
Fractional coordinates of all 12 atoms:
Na 0.2483 0.7517 0.7500  6 S 3.02-3.09
Na 0.7517 0.2483 0.2500  6 S 3.02-3.09
Nd 0.0000 0.0000 0.0000  6 S 2.82-2.91
Nd 0.0000 0.0000 0.5000  6 S 2.82-2.91
Zn 0.4665 0.5335 0.2500  4 S 2.31-2.46
Zn 0.5335 0.4665 0.7500  4 S 2.31-2.46
S 0.0768 0.9232 0.2500  2 Zn 2.46
S 0.3621 0.6379 0.0787  1 Zn 2.31
S 0.3621 0.6379 0.4213  1 Zn 2.31
S 0.6379 0.3621 0.5787  1 Zn 2.31
S 0.6379 0.3621 0.9213  1 Zn 2.31
S 0.9232 0.0768 0.7500  2 Zn 2.46

## Properties
M_tot   0.0 μB per cell
Volume   23.61 Å³/atom

***

Most stable structure, least stable structure: #Q, #P.

***

#P
This record from OQMD via LeMat-Bulk describes NaSrNdSe3 after structural relaxation. The functional is PBE.

a b c (Å): 7.3247 7.3247 11.0787
angles (deg): 90.00 90.00 145.43
With the nearest neighbours (Å) after each atom.
Fractional coordinates of all 12 atoms:
Na 0.0198 0.9802 0.7500  4 Se 2.69-2.71
Na 0.9802 0.0198 0.2500  4 Se 2.69-2.71
Sr 0.2517 0.7483 0.2500  6 Se 3.10-3.39
Sr 0.7483 0.2517 0.7500  6 Se 3.10-3.39
Nd 0.5000 0.5000 0.0000  6 Se 3.00-3.06
Nd 0.5000 0.5000 0.5000  6 Se 3.00-3.06
Se 0.1405 0.8595 0.5589  1 Na 2.71, 2 Nd 3.00
Se 0.1405 0.8595 0.9411  1 Na 2.71, 2 Nd 3.00
Se 0.4064 0.5936 0.7500  2 Na 2.69
Se 0.5936 0.4064 0.2500  2 Na 2.69
Se 0.8595 0.1405 0.0589  1 Na 2.71, 2 Nd 3.00
Se 0.8595 0.1405 0.4411  1 Na 2.71, 2 Nd 3.00

## Properties
M_tot   0.0 μB per cell
Volume   28.11 Å³/atom

***

#Q
This record from OQMD via LeMat-Bulk describes NaSrNdSe3 after structural relaxation. The functional is PBE.

a b c (Å): 11.1720 4.3578 13.9395
angles (deg): 90.00 90.00 90.00
With the nearest neighbours (Å) after each atom.
Fractional coordinates of all 24 atoms:
Na 0.2313 0.2500 0.2349  4 Se 2.68-2.71
Na 0.2687 0.7500 0.7349  4 Se 2.68-2.71
Na 0.7313 0.2500 0.2651  4 Se 2.68-2.71
Na 0.7687 0.7500 0.7651  4 Se 2.68-2.71
Sr 0.2136 0.7500 0.0030  7 Se 3.13-3.43
Sr 0.2864 0.2500 0.5030  7 Se 3.13-3.43
Sr 0.7136 0.7500 0.4970  7 Se 3.13-3.43
Sr 0.7864 0.2500 0.9970  7 Se 3.13-3.43
Nd 0.0183 0.2500 0.7366  6 Se 2.95-3.13
Nd 0.4817 0.7500 0.2366  6 Se 2.95-3.13
Nd 0.5183 0.2500 0.7634  6 Se 2.95-3.13
Nd 0.9817 0.7500 0.2634  6 Se 2.95-3.13
Se 0.0381 0.2500 0.1168  1 Na 2.71
Se 0.0875 0.7500 0.6056  1 Na 2.71, 2 Nd 2.95
Se 0.2375 0.7500 0.3465  2 Na 2.68
Se 0.2625 0.2500 0.8465  2 Na 2.68
Se 0.4125 0.2500 0.1056  1 Na 2.71, 2 Nd 2.95
Se 0.4619 0.7500 0.6168  1 Na 2.71
Se 0.5381 0.2500 0.3832  1 Na 2.71
Se 0.5875 0.7500 0.8944  1 Na 2.71, 2 Nd 2.95
Se 0.7375 0.7500 0.1535  2 Na 2.68
Se 0.7625 0.2500 0.6535  2 Na 2.68
Se 0.9125 0.2500 0.3944  1 Na 2.71, 2 Nd 2.95
Se 0.9619 0.7500 0.8832  1 Na 2.71

## Properties
M_tot   0.0 μB per cell
Volume   28.28 Å³/atom

***

#R
This record from OQMD via LeMat-Bulk describes NaSrNdSe3 after structural relaxation. The functional is PBE.

a b c (Å): 9.3545 9.3545 9.1343
angles (deg): 104.68 104.68 26.20
With the nearest neighbours (Å) after each atom.
Fractional coordinates of all 12 atoms:
Na 0.0046 0.0046 0.2035  4 Se 2.73-3.02
Na 0.9954 0.9954 0.7965  4 Se 2.73-3.02
Sr 0.3664 0.3664 0.4329  7 Se 3.17-3.33
Sr 0.6336 0.6336 0.5671  7 Se 3.17-3.33
Nd 0.3329 0.3329 0.9077  6 Se 2.94-3.02
Nd 0.6671 0.6671 0.0923  6 Se 2.94-3.02
Se 0.0000 0.0000 0.5000  2 Na 2.73
Se 0.1665 0.1665 0.8570  3 Nd 2.95-3.02, 1 Na 3.02
Se 0.1792 0.1792 0.3240  2 Nd 2.96, 1 Na 3.08, 1 Sr 3.29
Se 0.5000 0.5000 0.0000  4 Na 2.81, 2 Nd 2.94
Se 0.8208 0.8208 0.6760  2 Nd 2.96, 1 Na 3.08, 1 Sr 3.29
Se 0.8335 0.8335 0.1430  3 Nd 2.95-3.02, 1 Na 3.02

## Properties
M_tot   0.0 μB per cell
Volume   28.39 Å³/atom

***

Most stable structure, least stable structure: #R, #P.